# 1
A plane-wave DFT calculation with GGA-PBE was carried out for a relaxed structure of LaPdNO.

It has space group P4/nmm (No. 129, origin choice 2), with a = 5.1026 Å, b = 5.1026 Å, c = 4.5777 Å, α = 90.00°, β = 90.00° and γ = 90.00°. The inequivalent atoms are La at (0.2500, 0.7500, 0.0000), Pd at (0.2500, 0.2500, 0.4988), N at (0.2500, 0.2500, 0.9980) and O at (0.2500, 0.7500, 0.5000).

Its crystal system is tetragonal. For the offset from the most stable computed form, the calculation gives 354 meV/atom. For the total energy, the calculation gives -27.094 eV/f.u.

***

# 2
A plane-wave DFT calculation with GGA-PBE was carried out for a relaxed structure of GdHoTl.

It has space group F-43m (No. 216), with a = 7.3132 Å, b = 7.3132 Å, c = 7.3132 Å, α = 90.00°, β = 90.00° and γ = 90.00°. The inequivalent atoms are Gd at (0.0000, 0.0000, 0.0000), Ho at (0.0000, 0.0000, 0.5000) and Tl at (0.2500, 0.2500, 0.2500).

Its crystal system is cubic. For the offset from the most stable computed form, the calculation gives 0 meV/atom. For the total energy, the calculation gives -11.707 eV/f.u.

***

What did the second record say?
A plane-wave DFT calculation with GGA-PBE was carried out for a relaxed structure of GdHoTl.

It has space group F-43m (No. 216), with a = 7.3132 Å, b = 7.3132 Å, c = 7.3132 Å, α = 90.00°, β = 90.00° and γ = 90.00°. The inequivalent atoms are Gd at (0.0000, 0.0000, 0.0000), Ho at (0.0000, 0.0000, 0.5000) and Tl at (0.2500, 0.2500, 0.2500).

Its crystal system is cubic. For the offset from the most stable computed form, the calculation gives 0 meV/atom. For the total energy, the calculation gives -11.707 eV/f.u.

***

Q: Which of these has the highest offset from the most stable computed form?
A: LaPdNO

***

Q: Number 1 is which compound?
A: LaPdNO